(1)
A plane-wave DFT calculation with GGA-PBEsol was carried out for a relaxed ZnCl2 crystal.

abc: 3.644 3.644 11.086
angles: 90.00 90.00 90.00
Positions (direct):
Zn (0.000, 0.000, 0.000)
Zn (0.500, 0.500, 0.500)
Cl (0.000, 0.500, 0.122)
Cl (0.000, 0.500, 0.622)
Cl (0.500, 0.000, 0.378)
Cl (0.500, 0.000, 0.878)

Crystal system: tetragonal
ΔE_f (raw): -1108 meV per atom
Total magnetic moment: 0.0 μB/cell
DFT total energy: -2.97 eV per atom



(2)
A plane-wave DFT calculation with GGA-PBEsol was carried out for a relaxed YAlCo2 crystal.

abc: 4.435 4.435 4.435
angles: 60.00 60.00 60.00
Site moments in Bohr magnetons follow the coordinates.
Positions (direct):
Y (0.250, 0.250, 0.250)  0.01
Co (0.000, 0.000, 0.000)  1.60
Co (0.750, 0.750, 0.750)  1.44
Al (0.500, 0.500, 0.500)  0.01

Crystal system: cubic
Total magnetic moment: 3.1 μB/cell
DFT total energy: -6.46 eV per atom
Calculated formation energy: 3.1 kcal/mol of atoms



(3)
A plane-wave DFT calculation with GGA-PBEsol was carried out for a relaxed Tl2InAu crystal.

abc: 3.444 4.499 7.187
angles: 108.24 103.86 90.00
Positions (direct):
Tl (0.810, 0.810, 0.620)
Tl (0.190, 0.190, 0.380)
Au (0.500, 0.000, 0.000)
In (0.000, 0.500, 0.000)

Crystal system: orthorhombic
Total magnetic moment: 0.0 μB/cell
DFT total energy: -3.06 eV per atom
Calculated formation energy: -0.4 kcal/mol of atoms



(4)
A plane-wave DFT calculation with GGA-PBEsol was carried out for a relaxed Dy2Ga9Co3 crystal.

abc: 7.240 7.240 9.262
angles: 90.00 90.00 119.73
Positions (direct):
Dy (0.003, 0.331, 0.750)
Dy (0.669, 0.997, 0.250)
Dy (0.997, 0.669, 0.250)
Dy (0.331, 0.003, 0.750)
Ga (0.000, 0.334, 0.072)
Ga (0.666, 0.000, 0.928)
Ga (0.000, 0.334, 0.428)
Ga (0.666, 0.000, 0.572)
Ga (0.000, 0.666, 0.928)
Ga (0.334, 0.000, 0.072)
Ga (0.000, 0.666, 0.572)
Ga (0.334, 0.000, 0.428)
Ga (0.666, 0.666, 0.058)
Ga (0.334, 0.334, 0.942)
Ga (0.666, 0.666, 0.442)
Ga (0.334, 0.334, 0.558)
Ga (0.121, 0.121, 0.250)
Ga (0.879, 0.879, 0.750)
Ga (0.663, 0.449, 0.750)
Ga (0.551, 0.337, 0.250)
Ga (0.337, 0.551, 0.250)
Ga (0.449, 0.663, 0.750)
Co (0.000, 0.000, 0.000)
Co (0.000, 0.000, 0.500)
Co (0.671, 0.329, 0.000)
Co (0.671, 0.329, 0.500)
Co (0.329, 0.671, 0.000)
Co (0.329, 0.671, 0.500)

Crystal system: orthorhombic
Total magnetic moment: 0.0 μB/cell
DFT total energy: -5.07 eV per atom
Calculated formation energy: -12.8 kcal/mol of atoms